Record 1
Entry from the Alexandria database: an optimized crystal structure of CaMg3N (PBE).

## Properties
Total energy = -3.0238 eV/atom
Volume = 19.784 Å³/atom
Formation energy from raw total energies = 0.00 eV/atom
Space group = Pm-3m

Cell lengths 4.6248, 4.6248, 4.6248 Å; angles 90.00, 90.00, 90.00 degrees
Closest atoms and distances in Å follow each position.
Element x y z (fractional)
Ca 0.5000 0.5000 0.5000  12 Mg 3.27
Mg 0.0000 0.5000 0.0000  2 N 2.31
Mg 0.0000 0.0000 0.5000  2 N 2.31
Mg 0.5000 0.0000 0.0000  2 N 2.31
N 0.0000 0.0000 0.0000  6 Mg 2.31

Record 2
Entry from the Alexandria database: an optimized crystal structure of Th2MgPd9 (PBE).

## Properties
Total energy = -6.0912 eV/atom
Volume = 17.729 Å³/atom
E_form = -827 meV per atom
Space group = P4/mmm

Cell lengths 4.1796, 4.1796, 12.1788 Å; angles 90.00, 90.00, 90.00 degrees
Closest atoms and distances in Å follow each position.
Element x y z (fractional)
Pd 0.5000 0.5000 0.0000  8 Pd 2.83, 4 Mg 2.96
Pd 0.0000 0.5000 0.1568  2 Mg 2.83, 8 Pd 2.83-2.97, 2 Th 2.90
Pd 0.5000 0.5000 0.6699  8 Pd 2.94-2.97, 4 Th 2.96
Pd 0.5000 0.0000 0.8432  2 Mg 2.83, 8 Pd 2.83-2.97, 2 Th 2.90
Pd 0.0000 0.5000 0.8432  2 Mg 2.83, 8 Pd 2.83-2.97, 2 Th 2.90
Pd 0.5000 0.0000 0.1568  2 Mg 2.83, 8 Pd 2.83-2.97, 2 Th 2.90
Pd 0.0000 0.5000 0.5000  8 Pd 2.94-2.96, 4 Th 3.02
Pd 0.5000 0.0000 0.5000  8 Pd 2.94-2.96, 4 Th 3.02
Pd 0.5000 0.5000 0.3301  8 Pd 2.94-2.97, 4 Th 2.96
Th 0.0000 0.0000 0.3215  12 Pd 2.90-3.02
Th 0.0000 0.0000 0.6785  12 Pd 2.90-3.02
Mg 0.0000 0.0000 0.0000  12 Pd 2.83-2.96

Record 3
Entry from the Alexandria database: an optimized crystal structure of SiHg2Pb (PBE).

## Properties
Total energy = -2.0537 eV/atom
Volume = 24.414 Å³/atom
Formation energy from raw total energies = 0.38 eV/atom
Space group = I4/mmm

Cell lengths 5.6625, 5.6625, 5.6625 Å; angles 132.21, 132.21, 69.89 degrees
Closest atoms and distances in Å follow each position.
Element x y z (fractional)
Si 0.7500 0.2500 0.5000  4 Pb 3.24, 8 Hg 3.26
Hg 0.0000 0.0000 0.0000  4 Hg 3.24, 4 Pb 3.26, 4 Si 3.26
Hg 0.5000 0.5000 0.0000  4 Hg 3.24, 4 Si 3.26, 4 Pb 3.26
Pb 0.2500 0.7500 0.5000  4 Si 3.24, 8 Hg 3.26

Record 4
Entry from the Alexandria database: an optimized crystal structure of KRb6Na2 (PBE).

## Properties
Total energy = -1.0394 eV/atom
Volume = 76.632 Å³/atom
E_form = 21 meV per atom
Space group = Immm

Cell lengths 12.1811, 12.1811, 12.1811 Å; angles 103.70, 114.24, 110.65 degrees
Closest atoms and distances in Å follow each position.
Element x y z (fractional)
Rb 0.2896 0.6059 0.3163  3 Na 4.19-4.42
Rb 0.4779 0.2841 0.1938  3 Na 4.31-4.51, 1 K 4.70
Rb 0.7104 0.3941 0.6837  3 Na 4.19-4.42
Rb 0.2896 0.9733 0.6837  3 Na 4.19-4.42
Rb 0.2075 0.2458 0.4533  2 Na 4.22-4.39, 2 K 4.61-4.71
Rb 0.9098 0.7159 0.1938  3 Na 4.31-4.51, 1 K 4.70
Rb 0.7925 0.2458 0.0383  2 Na 4.22-4.39, 2 K 4.61-4.71
Rb 0.5221 0.7159 0.8062  3 Na 4.31-4.51, 1 K 4.70
Rb 0.0902 0.2841 0.8062  3 Na 4.31-4.51, 1 K 4.70
Rb 0.7925 0.7542 0.5467  2 Na 4.22-4.39, 2 K 4.61-4.71
Rb 0.2075 0.7542 0.9617  2 Na 4.22-4.39, 2 K 4.61-4.71
Rb 0.7104 0.0267 0.3163  3 Na 4.19-4.42
Na 0.6393 0.0000 0.6393  1 Na 3.69
Na 0.3607 0.0000 0.3607  1 Na 3.69
Na 0.5000 0.6168 0.1168  1 Na 3.51
Na 0.5000 0.3832 0.8832  1 Na 3.51
K 0.0000 0.5000 0.5000  12 Rb 4.71-5.03
K 0.0000 0.0000 0.0000  8 Rb 4.61-4.70, 2 Na 4.77

Number 1: ρ 2.1 Mg/m³. Number 2: ρ 11.3 Mg/m³. Number 3: ρ 10.8 Mg/m³. Number 4: ρ 1.4 Mg/m³.